[1]
Material: MgMoCl2
Method: DFT, PBE-GGA
State: optimized geometry

Geometry as extended XYZ:
```
4
Lattice="5.314 -1.526 0.000 5.314 1.526 0.000 -2.337 0.000 6.795" Properties=species:S:1:pos:R:3 pbc="T T T"
Mg 0.000 0.000 0.000
Mo 0.531 0.000 6.640
Cl 5.584 0.000 4.717
Cl 8.430 0.000 1.809
```

Values from the calculation:
The formation energy from raw total energies is -213 meV per atom. The calculation puts the energy above the most stable polymorph in this dataset at 167.9 meV/atom.



[2]
Material: Mg2MoCl
Method: DFT, PBE-GGA
State: optimized geometry

Geometry as extended XYZ:
```
4
Lattice="-2.018 2.018 4.727 2.018 -2.018 4.727 2.018 2.018 -4.727" Properties=species:S:1:pos:R:3 pbc="T T T"
Mg 2.018 0.000 2.364
Mg 0.000 2.018 2.364
Mo 0.000 0.000 0.000
Cl 0.000 0.000 4.727
```

Values from the calculation:
The formation energy from raw total energies is 542 meV per atom. The calculation puts the energy above the most stable polymorph in this dataset at 764.4 meV/atom.



[3]
Material: Mg2MoCl
Method: DFT, PBE-GGA
State: optimized geometry

Geometry as extended XYZ:
```
4
Lattice="3.049 0.000 0.000 0.000 2.978 0.000 -0.080 0.000 8.317" Properties=species:S:1:pos:R:3 pbc="T T T"
Mg 0.008 0.000 2.025
Mg 2.961 0.000 6.292
Mo 1.524 1.489 0.000
Cl -0.040 1.489 4.158
```

Values from the calculation:
The formation energy from raw total energies is -222 meV per atom. The calculation puts the energy above the most stable polymorph in this dataset at 0.0 meV/atom.



[4]
Material: Mg2MoCl2
Method: DFT, PBE-GGA
State: optimized geometry

Geometry as extended XYZ:
```
5
Lattice="-2.178 2.178 5.976 2.178 -2.178 5.976 2.178 2.178 -5.976" Properties=species:S:1:pos:R:3 pbc="T T T"
Mg 0.000 0.000 1.462
Mg 0.000 0.000 10.489
Mo 0.000 0.000 5.976
Cl 2.178 0.000 2.988
Cl 0.000 2.178 2.988
```

Values from the calculation:
The formation energy from raw total energies is 40 meV per atom. The calculation puts the energy above the most stable polymorph in this dataset at 0.0 meV/atom.



[5]
Material: MgMoCl2
Method: DFT, PBE-GGA
State: optimized geometry

Geometry as extended XYZ:
```
4
Lattice="3.088 0.000 0.000 0.000 4.252 0.000 0.000 0.000 5.921" Properties=species:S:1:pos:R:3 pbc="T T T"
Mg 0.000 0.000 0.000
Mo 1.544 0.000 2.960
Cl 0.000 2.126 2.960
Cl 1.544 2.126 0.000
```

Values from the calculation:
The formation energy from raw total energies is 16 meV per atom. The calculation puts the energy above the most stable polymorph in this dataset at 396.8 meV/atom.



[6]
Material: MgMoCl2
Method: DFT, PBE-GGA
State: optimized geometry

Geometry as extended XYZ:
```
4
Lattice="3.123 -3.699 0.000 3.123 3.699 0.000 0.000 0.000 3.368" Properties=species:S:1:pos:R:3 pbc="T T T"
Mg 0.000 0.000 0.000
Mo 3.123 0.000 0.000
Cl 1.562 1.850 1.684
Cl 1.562 -1.850 1.684
```

Values from the calculation:
The formation energy from raw total energies is 301 meV per atom. The calculation puts the energy above the most stable polymorph in this dataset at 681.6 meV/atom.



[7]
Material: Mg2MoCl
Method: DFT, PBE-GGA
State: optimized geometry

Geometry as extended XYZ:
```
4
Lattice="1.577 0.911 8.472 -1.577 0.911 8.472 0.000 -1.821 8.472" Properties=species:S:1:pos:R:3 pbc="T T T"
Mg 0.000 0.000 6.295
Mg 0.000 0.000 19.122
Mo 0.000 0.000 0.000
Cl 0.000 0.000 12.709
```

Values from the calculation:
The formation energy from raw total energies is -156 meV per atom. The calculation puts the energy above the most stable polymorph in this dataset at 66.3 meV/atom.



[8]
Material: Mg2MoCl
Method: DFT, PBE-GGA
State: optimized geometry

Geometry as extended XYZ:
```
4
Lattice="2.906 0.000 0.000 0.000 4.727 0.000 0.000 0.000 5.600" Properties=species:S:1:pos:R:3 pbc="T T T"
Mg 0.000 0.000 0.000
Mg 1.453 2.363 1.718
Mo 0.000 0.000 2.715
Cl 1.453 2.363 4.518
```

Values from the calculation:
The formation energy from raw total energies is 310 meV per atom. The calculation puts the energy above the most stable polymorph in this dataset at 531.8 meV/atom.